VASP calculation (PBE-GGA) on an optimized crystal structure of Mn2HgH.

Calculated values
Its symmetry is No. 227. For the magnetic moment, the calculation gives 1.721 μB per atom. As for the energy above the lowest structure with this stoichiometry: 0 meV/atom. The value obtained for the theoretical density is 9.18 g cm⁻³.

Lattice parameters (Å, degrees): 5.422 5.422 5.422 60.00 60.00 60.00
Fractional positions:
1 Mn 0.000 0.000 0.000
2 Mn 0.000 0.000 0.500
3 Mn 0.000 0.500 0.000
4 Mn 0.500 0.000 0.000
5 Hg 0.375 0.375 0.375
6 Hg 0.625 0.625 0.625
7 H 0.125 0.125 0.125
8 H 0.875 0.875 0.875

VASP calculation (PBE-GGA) on an optimized crystal structure of RbAcPt.

Calculated values
Its symmetry is No. 164. For the magnetic moment, the calculation gives 0.000 μB per atom. The calculation puts the calculated formation energy at -537 meV/atom. The value obtained for the theoretical density is 5.64 g cm⁻³.

Lattice parameters (Å, degrees): 5.116 5.116 13.180 90.00 90.00 120.00
Fractional positions:
1 Rb 0.000 0.000 0.177
2 Rb 0.000 0.000 0.823
3 Ac 0.333 0.667 0.595
4 Ac 0.667 0.333 0.405
5 Pt 0.333 0.667 0.364
6 Pt 0.667 0.333 0.636

VASP calculation (PBE-GGA) on an optimized crystal structure of Li2HoSn2.

Calculated values
Its symmetry is No. 139. For the magnetic moment, the calculation gives 0.000 μB per atom. As for the energy above the lowest structure with this stoichiometry: 14 meV/atom. The calculation puts the calculated formation energy at -471 meV/atom. The value obtained for the theoretical density is 6.42 g cm⁻³.

Lattice parameters (Å, degrees): 9.328 9.328 9.328 158.63 158.63 30.41
Fractional positions:
1 Li 0.209 0.209 0.000
2 Li 0.791 0.791 0.000
3 Ho 0.000 0.000 0.000
4 Sn 0.378 0.378 0.000
5 Sn 0.622 0.622 0.000

VASP calculation (PBE-GGA) on an optimized crystal structure of LaTbTmMg.

Calculated values
Its symmetry is No. 216. For the magnetic moment, the calculation gives 0.000 μB per atom. As for the energy above the lowest structure with this stoichiometry: 31 meV/atom. The calculation puts the calculated formation energy at 17 meV/atom. The value obtained for the theoretical density is 6.63 g cm⁻³.

Lattice parameters (Å, degrees): 5.582 5.582 5.582 60.00 60.00 60.00
Fractional positions:
1 La 0.000 0.000 0.000
2 Tb 0.500 0.500 0.500
3 Tm 0.250 0.250 0.250
4 Mg 0.750 0.750 0.750